1.
# Ce2InRh2

A relaxed Ce2InRh2 crystal (PBEsol, the Alexandria database).

* VASP energy: -7.198 eV/atom
* V: 207 Å³/cell
* formation energy: -708 meV/atom

Cell lengths 7.5210, 7.5210, 3.6639 Å; angles 90.00, 90.00, 90.00 degrees
With the nearest neighbours (Å) after each atom.
Sites, in units of the cell vectors:
Ce  0.1690  0.3310  0.0000  6 Rh 2.76-2.95
Ce  0.3310  0.8310  0.0000  6 Rh 2.76-2.95
Ce  0.6690  0.1690  0.0000  6 Rh 2.76-2.95
Ce  0.8310  0.6690  0.0000  6 Rh 2.76-2.95
In  0.0000  0.0000  0.5000  4 Rh 2.92
In  0.5000  0.5000  0.5000  4 Rh 2.92
Rh  0.1368  0.6368  0.5000  6 Ce 2.76-2.95, 1 Rh 2.91, 2 In 2.92
Rh  0.3632  0.1368  0.5000  6 Ce 2.76-2.95, 1 Rh 2.91, 2 In 2.92
Rh  0.6368  0.8632  0.5000  6 Ce 2.76-2.95, 1 Rh 2.91, 2 In 2.92
Rh  0.8632  0.3632  0.5000  6 Ce 2.76-2.95, 1 Rh 2.91, 2 In 2.92

***

2.
# Ce2In8Rh

A relaxed Ce2In8Rh crystal (PBEsol, the Alexandria database).

* VASP energy: -4.555 eV/atom
* V: 256 Å³/cell
* formation energy: -447 meV/atom

Cell lengths 4.6135, 4.6135, 12.0261 Å; angles 90.00, 90.00, 90.00 degrees
With the nearest neighbours (Å) after each atom.
Sites, in units of the cell vectors:
Ce  0.0000  0.0000  0.1924  12 In 3.21-3.27
Ce  0.0000  0.0000  0.8076  12 In 3.21-3.27
In  0.0000  0.5000  0.0000  8 In 3.26, 4 Ce 3.27
In  0.0000  0.5000  0.3776  2 Rh 2.74, 1 In 2.94
In  0.0000  0.5000  0.6224  2 Rh 2.74, 1 In 2.94
In  0.5000  0.0000  0.0000  8 In 3.26, 4 Ce 3.27
In  0.5000  0.0000  0.3776  2 Rh 2.74, 1 In 2.94
In  0.5000  0.0000  0.6224  2 Rh 2.74, 1 In 2.94
In  0.5000  0.5000  0.1913  8 In 3.22-3.26, 4 Ce 3.26
In  0.5000  0.5000  0.8087  8 In 3.22-3.26, 4 Ce 3.26
Rh  0.0000  0.0000  0.5000  8 In 2.74

***

3.
# Ce2In3Ru2

A relaxed Ce2In3Ru2 crystal (PBEsol, the Alexandria database).

* VASP energy: -6.484 eV/atom
* V: 595 Å³/cell
* formation energy: -415 meV/atom

Cell lengths 17.4604, 4.6465, 7.3325 Å; angles 90.00, 90.00, 90.00 degrees
With the nearest neighbours (Å) after each atom.
Sites, in units of the cell vectors:
Ce  0.0745  0.2500  0.0506  2 Ru 2.30-2.34
Ce  0.1462  0.2500  0.5653  9 In 3.15-3.36, 4 Ru 3.39-3.44
Ce  0.3538  0.7500  0.0653  9 In 3.15-3.36, 4 Ru 3.39-3.44
Ce  0.4255  0.7500  0.5506  2 Ru 2.30-2.34
Ce  0.5745  0.2500  0.4494  2 Ru 2.30-2.34
Ce  0.6462  0.2500  0.9347  9 In 3.15-3.36, 4 Ru 3.39-3.44
Ce  0.8538  0.7500  0.4347  9 In 3.15-3.36, 4 Ru 3.39-3.44
Ce  0.9255  0.7500  0.9494  2 Ru 2.30-2.34
In  0.0324  0.7500  0.3751  3 Ru 2.76-2.84, 1 In 2.91
In  0.1851  0.7500  0.8593  4 Ru 2.78-2.83, 1 In 3.05
In  0.1934  0.7500  0.2746  3 Ru 2.76-2.78, 2 In 2.91-3.05
In  0.3066  0.2500  0.7746  3 Ru 2.76-2.78, 2 In 2.91-3.05
In  0.3149  0.2500  0.3593  4 Ru 2.78-2.83, 1 In 3.05
In  0.4676  0.2500  0.8751  3 Ru 2.76-2.84, 1 In 2.91
In  0.5324  0.7500  0.1249  3 Ru 2.76-2.84, 1 In 2.91
In  0.6851  0.7500  0.6407  4 Ru 2.78-2.83, 1 In 3.05
In  0.6934  0.7500  0.2254  3 Ru 2.76-2.78, 2 In 2.91-3.05
In  0.8066  0.2500  0.7254  3 Ru 2.76-2.78, 2 In 2.91-3.05
In  0.8149  0.2500  0.1407  4 Ru 2.78-2.83, 1 In 3.05
In  0.9676  0.2500  0.6249  3 Ru 2.76-2.84, 1 In 2.91
Ru  0.0312  0.7500  0.7618  1 Ce 2.30
Ru  0.2082  0.2500  0.0688  1 Ce 2.34
Ru  0.2918  0.7500  0.5688  1 Ce 2.34
Ru  0.4688  0.2500  0.2618  1 Ce 2.30
Ru  0.5312  0.7500  0.7382  1 Ce 2.30
Ru  0.7082  0.2500  0.4312  1 Ce 2.34
Ru  0.7918  0.7500  0.9312  1 Ce 2.34
Ru  0.9688  0.2500  0.2382  1 Ce 2.30

***

4.
# Ce3In2Ru2

A relaxed Ce3In2Ru2 crystal (PBEsol, the Alexandria database).

* VASP energy: -7.000 eV/atom
* V: 622 Å³/cell
* formation energy: -414 meV/atom

Cell lengths 17.3470, 4.8187, 7.4361 Å; angles 90.00, 90.00, 90.00 degrees
With the nearest neighbours (Å) after each atom.
Sites, in units of the cell vectors:
Ce  0.0740  0.2500  0.0112  1 Ru 2.29
Ce  0.1388  0.2500  0.4779  6 In 3.21-3.35, 2 Ce 3.29, 3 Ru 3.45-3.54
Ce  0.1744  0.7500  0.7676  1 Ru 2.26
Ce  0.3256  0.2500  0.2676  1 Ru 2.26
Ce  0.3612  0.7500  0.9779  6 In 3.21-3.35, 2 Ce 3.29, 3 Ru 3.45-3.54
Ce  0.4260  0.7500  0.5112  1 Ru 2.29
Ce  0.5740  0.2500  0.4888  1 Ru 2.29
Ce  0.6388  0.2500  0.0221  6 In 3.21-3.35, 2 Ce 3.29, 3 Ru 3.45-3.54
Ce  0.6744  0.7500  0.7324  1 Ru 2.26
Ce  0.8256  0.2500  0.2324  1 Ru 2.26
Ce  0.8612  0.7500  0.5221  6 In 3.21-3.35, 2 Ce 3.29, 3 Ru 3.45-3.54
Ce  0.9260  0.7500  0.9888  1 Ru 2.29
In  0.0310  0.7500  0.3430  3 Ru 2.80-2.87, 1 In 3.03
In  0.1966  0.7500  0.2120  3 Ru 2.81-2.84, 1 In 3.03
In  0.3034  0.2500  0.7120  3 Ru 2.81-2.84, 1 In 3.03
In  0.4690  0.2500  0.8430  3 Ru 2.80-2.87, 1 In 3.03
In  0.5310  0.7500  0.1570  3 Ru 2.80-2.87, 1 In 3.03
In  0.6966  0.7500  0.2880  3 Ru 2.81-2.84, 1 In 3.03
In  0.8034  0.2500  0.7880  3 Ru 2.81-2.84, 1 In 3.03
In  0.9690  0.2500  0.6570  3 Ru 2.80-2.87, 1 In 3.03
Ru  0.0453  0.7500  0.7274  1 Ce 2.26
Ru  0.2060  0.2500  0.0188  1 Ce 2.29
Ru  0.2940  0.7500  0.5188  1 Ce 2.29
Ru  0.4547  0.2500  0.2274  1 Ce 2.26
Ru  0.5453  0.7500  0.7726  1 Ce 2.26
Ru  0.7060  0.2500  0.4812  1 Ce 2.29
Ru  0.7940  0.7500  0.9812  1 Ce 2.29
Ru  0.9547  0.2500  0.2726  1 Ce 2.26

***

5.
# Ce2In3Sn3

A relaxed Ce2In3Sn3 crystal (PBEsol, the Alexandria database).

* VASP energy: -4.889 eV/atom
* V: 197 Å³/cell
* formation energy: -524 meV/atom

Cell lengths 4.6125, 4.6964, 9.0798 Å; angles 90.00, 90.00, 90.00 degrees
With the nearest neighbours (Å) after each atom.
Sites, in units of the cell vectors:
Ce  0.0000  0.0000  0.2463  6 Sn 3.21-3.26, 6 In 3.29
Ce  0.0000  0.0000  0.7537  6 Sn 3.21-3.26, 6 In 3.29
In  0.0000  0.5000  0.5000  4 In 3.21, 4 Ce 3.29, 4 Sn 3.29
In  0.5000  0.5000  0.2535  2 In 3.21, 6 Sn 3.24-3.29, 4 Ce 3.29
In  0.5000  0.5000  0.7465  2 In 3.21, 6 Sn 3.24-3.29, 4 Ce 3.29
Sn  0.0000  0.5000  0.0000  4 Ce 3.24, 4 In 3.26, 4 Sn 3.29
Sn  0.5000  0.0000  0.0000  4 Ce 3.21, 4 In 3.29, 4 Sn 3.29
Sn  0.5000  0.0000  0.5000  8 In 3.24-3.29, 4 Ce 3.26

***

6.
# CeTmIn2

A relaxed CeTmIn2 crystal (PBEsol, the Alexandria database).

* VASP energy: -4.758 eV/atom
* V: 103 Å³/cell
* formation energy: -393 meV/atom

Cell lengths 5.2590, 5.2590, 5.2590 Å; angles 60.00, 60.00, 60.00 degrees
With the nearest neighbours (Å) after each atom.
Sites, in units of the cell vectors:
Ce  0.0000  0.0000  0.0000  8 In 3.22
Tm  0.5000  0.5000  0.5000  8 In 3.22
In  0.2500  0.2500  0.2500  4 Ce 3.22, 4 Tm 3.22
In  0.7500  0.7500  0.7500  4 Ce 3.22, 4 Tm 3.22

***

7.
# CeZnIn

A relaxed CeZnIn crystal (PBEsol, the Alexandria database).

* VASP energy: -4.031 eV/atom
* V: 131 Å³/cell
* formation energy: -311 meV/atom

Cell lengths 4.8265, 4.8265, 6.5019 Å; angles 90.00, 90.00, 120.00 degrees
With the nearest neighbours (Å) after each atom.
Sites, in units of the cell vectors:
Ce  0.0000  0.0000  0.0000  6 In 3.23, 6 Zn 3.23, 2 Ce 3.25
Ce  0.0000  0.0000  0.5000  6 In 3.23, 6 Zn 3.23, 2 Ce 3.25
Zn  0.3333  0.6667  0.2500  3 In 2.79
Zn  0.6667  0.3333  0.7500  3 In 2.79
In  0.3333  0.6667  0.7500  3 Zn 2.79
In  0.6667  0.3333  0.2500  3 Zn 2.79

***

8.
# Sr2CeIrO6

A relaxed Sr2CeIrO6 crystal (PBEsol, the Alexandria database).

* formation energy from raw total energies: -2.444 eV/atom
* VASP energy: -7.604 eV/atom
* V: 279 Å³/cell

Cell lengths 5.7979, 5.8511, 10.0081 Å; angles 90.00, 124.81, 90.00 degrees
With the nearest neighbours (Å) after each atom.
Sites, in units of the cell vectors:
Sr  0.2383  0.0380  0.2484  6 O 2.55-2.78
Sr  0.2383  0.4620  0.7484  6 O 2.55-2.78
Sr  0.7617  0.5380  0.2516  6 O 2.55-2.78
Sr  0.7617  0.9620  0.7516  6 O 2.55-2.78
Ce  0.5000  0.0000  0.0000  6 O 2.21-2.22
Ce  0.5000  0.5000  0.5000  6 O 2.21-2.22
Ir  0.0000  0.0000  0.5000  6 O 1.99-2.00
Ir  0.0000  0.5000  0.0000  6 O 1.99-2.00
O  0.1591  0.2264  0.9604  1 Ir 2.00, 1 Ce 2.22
O  0.1591  0.2736  0.4604  1 Ir 2.00, 1 Ce 2.22
O  0.2326  0.7025  0.9605  1 Ir 2.00, 1 Ce 2.21
O  0.2326  0.7975  0.4605  1 Ir 2.00, 1 Ce 2.21
O  0.3105  0.0172  0.7361  1 Ir 1.99, 1 Ce 2.21
O  0.3105  0.4828  0.2361  1 Ir 1.99, 1 Ce 2.21
O  0.6895  0.5172  0.7639  1 Ir 1.99, 1 Ce 2.21
O  0.6895  0.9828  0.2639  1 Ir 1.99, 1 Ce 2.21
O  0.7674  0.2025  0.5395  1 Ir 2.00, 1 Ce 2.21
O  0.7674  0.2975  0.0395  1 Ir 2.00, 1 Ce 2.21
O  0.8409  0.7264  0.5396  1 Ir 2.00, 1 Ce 2.22
O  0.8409  0.7736  0.0396  1 Ir 2.00, 1 Ce 2.22